Compound: BaCoAs
Source: the Alexandria database
Functional: GGA-PBE
Structure: optimized geometry

Results
* space group: C2/m, No. 12
* density: 5.18 g cm⁻³
* spin magnetization: 0.190 μB/atom
* energy: -5.00 eV/atom
* V: 28.95 Å³ per atom

Unit cell a=4.077 b=7.922 c=10.973 alpha=93.86 beta=100.71 gamma=90.00
Last column: magnetic moment on the atom in μB.
Positions (direct):
Ba  0.116  0.349  0.232  0.01
Ba  0.421  0.162  0.843  0.04
Ba  0.884  0.651  0.768  0.01
Ba  0.579  0.838  0.157  0.04
As  0.305  0.385  0.609  -0.01
As  0.693  0.114  0.386  0.00
As  0.695  0.615  0.391  -0.01
As  0.307  0.886  0.614  0.00
Co  0.248  0.122  0.497  0.45
Co  0.249  0.628  0.498  0.54
Co  0.751  0.372  0.502  0.54
Co  0.752  0.878  0.503  0.45

***

Compound: Ba2CoAs
Source: the Alexandria database
Functional: GGA-PBE
Structure: optimized geometry

Results
* space group: Imm2, No. 44
* density: 4.27 g cm⁻³
* spin magnetization: 0.368 μB/atom
* energy: -4.23 eV/atom
* V: 39.72 Å³ per atom

Unit cell a=8.807 b=8.807 c=8.807 alpha=151.71 beta=150.54 gamma=41.30
Last column: magnetic moment on the atom in μB.
Positions (direct):
Ba  0.992  0.992  0.000  0.00
Ba  0.764  0.264  0.500  0.01
Co  0.398  0.398  0.000  1.09
As  0.347  0.847  0.500  0.06

***

Compound: BaCoAs
Source: the Alexandria database
Functional: GGA-PBE
Structure: optimized geometry

Results
* space group: I4mm, No. 107
* density: 6.78 g cm⁻³
* spin magnetization: 0.000 μB/atom
* energy: -4.63 eV/atom
* V: 22.14 Å³ per atom

Unit cell a=6.262 b=6.263 c=3.388 alpha=74.30 beta=74.31 gamma=31.39
Positions (direct):
As  0.054  0.054  0.946
Ba  0.333  0.333  0.667
Co  0.614  0.614  0.386

***

Compound: BaCoAs
Source: the Alexandria database
Functional: GGA-PBE
Structure: optimized geometry

Results
* space group: F-43m, No. 216
* density: 5.95 g cm⁻³
* spin magnetization: 0.664 μB/atom
* energy: -4.51 eV/atom
* V: 25.25 Å³ per atom

Unit cell a=4.749 b=4.749 c=4.749 alpha=60.00 beta=60.00 gamma=60.00
Last column: magnetic moment on the atom in μB.
Positions (direct):
As  0.000  0.000  0.000  0.11
Ba  0.500  0.500  0.500  0.07
Co  0.750  0.750  0.750  1.64

***

Compound: Ba2CoAs
Source: the Alexandria database
Functional: GGA-PBE
Structure: optimized geometry

Results
* space group: I-42d, No. 122
* density: 4.47 g cm⁻³
* spin magnetization: 0.492 μB/atom
* energy: -3.74 eV/atom
* V: 37.94 Å³ per atom

Unit cell a=8.649 b=8.649 c=7.339 alpha=53.90 beta=53.90 gamma=90.00
Last column: magnetic moment on the atom in μB.
Positions (direct):
Co  0.250  0.750  0.500  1.92
Co  0.500  0.500  0.000  1.92
Ba  0.636  0.125  0.250  -0.03
Ba  0.875  0.886  0.750  -0.02
Ba  0.375  0.364  0.750  -0.02
Ba  0.114  0.625  0.250  -0.03
As  0.750  0.250  0.500  0.07
As  0.000  0.000  0.000  0.07

***

Compound: Ba2CoAs
Source: the Alexandria database
Functional: GGA-PBE
Structure: optimized geometry

Results
* space group: P4mm, No. 99
* density: 4.52 g cm⁻³
* spin magnetization: 0.470 μB/atom
* energy: -3.86 eV/atom
* V: 37.50 Å³ per atom

Unit cell a=4.740 b=4.740 c=6.677 alpha=90.00 beta=90.00 gamma=90.00
Last column: magnetic moment on the atom in μB.
Positions (direct):
As  0.500  0.500  0.875  0.16
Ba  0.500  0.500  0.375  -0.07
Ba  0.000  0.000  0.875  -0.01
Co  0.000  0.000  0.376  1.79

***

Compound: Ba2CoAs
Source: the Alexandria database
Functional: GGA-PBE
Structure: optimized geometry

Results
* space group: Cmm2, No. 35
* density: 5.36 g cm⁻³
* spin magnetization: 0.002 μB/atom
* energy: -3.84 eV/atom
* V: 31.65 Å³ per atom

Unit cell a=3.693 b=3.693 c=9.379 alpha=90.00 beta=90.00 gamma=98.18
Positions (direct):
Ba  0.500  0.500  0.337
Ba  0.000  0.000  0.900
Co  0.000  0.000  0.599
As  0.500  0.500  0.664

***

Compound: Ba2CoAs2
Source: the Alexandria database
Functional: GGA-PBE
Structure: optimized geometry

Results
* space group: P4/mbm, No. 127
* density: 6.50 g cm⁻³
* spin magnetization: 0.000 μB/atom
* energy: -4.39 eV/atom
* V: 24.70 Å³ per atom

Unit cell a=6.802 b=6.802 c=5.338 alpha=90.00 beta=90.00 gamma=90.00
Positions (direct):
Co  0.500  0.500  0.000
Co  0.000  0.000  0.000
Ba  0.824  0.324  0.500
Ba  0.324  0.176  0.500
Ba  0.676  0.824  0.500
Ba  0.176  0.676  0.500
As  0.858  0.642  0.000
As  0.358  0.858  0.000
As  0.642  0.142  0.000
As  0.142  0.358  0.000

***

Compound: Ba2CoAs
Source: the Alexandria database
Functional: GGA-PBE
Structure: optimized geometry

Results
* space group: I-4m2, No. 119
* density: 5.54 g cm⁻³
* spin magnetization: 0.431 μB/atom
* energy: -3.84 eV/atom
* V: 30.64 Å³ per atom

Unit cell a=6.443 b=6.443 c=6.443 alpha=137.08 beta=137.08 gamma=62.31
Last column: magnetic moment on the atom in μB.
Positions (direct):
Co  0.500  0.500  0.000  1.83
As  0.750  0.250  0.500  0.06
Ba  0.000  0.000  0.000  -0.07
Ba  0.250  0.750  0.500  -0.04

***

Compound: BaFeCoAs2
Source: the Alexandria database
Functional: GGA-PBE
Structure: optimized geometry

Results
* space group: I-4m2, No. 119
* density: 6.73 g cm⁻³
* spin magnetization: 0.000 μB/atom
* energy: -5.95 eV/atom
* V: 19.84 Å³ per atom

Unit cell a=3.921 b=3.921 c=7.024 alpha=106.21 beta=106.21 gamma=90.00
Positions (direct):
As  0.347  0.347  0.694
As  0.653  0.653  0.306
Ba  0.000  0.000  0.000
Fe  0.750  0.250  0.500
Co  0.250  0.750  0.500

***

Compound: BaCo2GeAs
Source: the Alexandria database
Functional: GGA-PBE
Structure: optimized geometry

Results
* space group: P4/mmm, No. 123
* density: 5.28 g cm⁻³
* spin magnetization: 0.563 μB/atom
* energy: -4.56 eV/atom
* V: 25.31 Å³ per atom

Unit cell a=4.542 b=6.136 c=4.542 alpha=90.00 beta=90.00 gamma=90.00
Last column: magnetic moment on the atom in μB.
Positions (direct):
Co  0.500  0.000  0.000  1.80
Co  0.000  0.000  0.500  1.33
Ba  0.000  0.500  0.000  -0.02
As  0.000  0.000  0.000  0.00
Ge  0.500  0.500  0.500  -0.09

***

Compound: Ba2CoAs2H4
Source: the Alexandria database
Functional: GGA-PBE
Structure: optimized geometry

Results
* space group: I4/mmm, No. 139
* density: 5.23 g cm⁻³
* spin magnetization: 0.160 μB/atom
* energy: -4.03 eV/atom
* V: 17.21 Å³ per atom

Unit cell a=5.891 b=5.891 c=5.891 alpha=101.05 beta=113.84 gamma=113.84
Last column: magnetic moment on the atom in μB.
Positions (direct):
H  0.653  0.827  0.827  0.00
H  0.000  0.173  0.827  0.00
H  0.347  0.173  0.173  0.00
H  0.000  0.827  0.173  0.00
Co  0.000  0.000  0.000  0.59
As  0.000  0.664  0.664  0.17
As  0.000  0.336  0.336  0.17
Ba  0.500  0.750  0.250  0.04
Ba  0.500  0.250  0.750  0.04